# Sc5In4Cu

Crystalline Sc5In4Cu at its relaxed geometry (PBE-GGA, Alexandria).

The structure in POSCAR format:
```
Sc5In4Cu
1.0
-1.470 1.230 -2.709
-0.197 -3.055 -1.280
-17.567 -2.403 8.445
Sc In Cu
5 4 1
Direct
0.500 0.500 0.710
0.500 0.500 0.290
0.500 0.500 0.500
0.500 0.500 0.080
0.500 0.500 0.920
0.000 0.000 0.395
0.000 0.000 0.816
0.000 0.000 0.605
0.000 0.000 0.184
0.000 0.000 0.000
```



# Sm3HoTm

Crystalline Sm3HoTm at its relaxed geometry (PBE-GGA, Alexandria).

The structure in POSCAR format:
```
Sm3HoTm
1.0
9.466 0.363 -1.786
0.713 6.580 1.460
-1.053 1.814 5.946
Tm Sm Ho
2 6 2
Direct
0.850 0.947 0.886
0.149 0.453 0.114
0.050 0.951 0.482
0.950 0.449 0.518
0.550 0.449 0.318
0.750 0.450 0.917
0.250 0.950 0.083
0.450 0.951 0.682
0.651 0.950 0.284
0.349 0.450 0.716
```



# Sc6CdHg

Crystalline Sc6CdHg at its relaxed geometry (PBE-GGA, Alexandria).

The structure in POSCAR format:
```
Sc6CdHg
1.0
5.127 0.548 0.094
0.931 5.072 0.094
1.938 1.798 8.154
Sc Cd Hg
6 1 1
Direct
0.070 0.561 0.298
0.647 0.647 0.053
0.561 0.070 0.298
0.930 0.439 0.702
0.439 0.930 0.702
0.353 0.353 0.947
0.500 0.500 0.500
0.000 0.000 0.000
```



no.,electronic total energy (eV per atom),calculated volume (Å³/atom)
1,-5.079,21.62
2,-4.623,32.85
3,-4.797,25.79